Y8ErAl2 | PBE | relaxed

Unit cell a=8.620 b=8.620 c=8.251 alpha=113.19 beta=113.19 gamma=35.22
Fractional positions:
Y (0.057, 0.057, 0.234)
Y (0.153, 0.153, 0.722)
Y (0.312, 0.312, 0.545)
Y (0.389, 0.389, 0.028)
Y (0.611, 0.611, 0.972)
Y (0.688, 0.688, 0.455)
Y (0.847, 0.847, 0.278)
Y (0.943, 0.943, 0.766)
Er (0.500, 0.500, 0.500)
Al (0.224, 0.224, 0.142)
Al (0.776, 0.776, 0.858)

density of states at the Fermi level: 13.86 states/eV per cell
formation energy from the elements: -118 meV per atom
calculated volume: 322.0 Å³ per cell
mass density: 4.808 Mg/m³
electronic total energy: -65.1 eV per cell